Entry 1:
DFT (SCAN) results for a crystal of La2ZnOs relaxed with PBEsol.

The value obtained for the size of the total moment is 0.00 μB/f.u. For the calculated volume, the calculation gives 96.94 Å³ per cell. As for the space group: No. 38. The calculation puts the calculated total energy at -43.13 eV per atom. The value obtained for the formation energy is -229.3 meV/atom.

Unit cell a=4.0944 b=4.3774 c=5.7834 alpha=90.00 beta=110.73 gamma=90.00
Last column: nearest neighbours and their distance in Å.
Atoms (fractional coordinates):
Zn 0.6843 0.5000 0.3685  2 Os 2.62
Os 0.8167 0.0000 0.6334  2 Zn 2.62
La 0.1116 0.0000 0.2233  3 Os 3.02-3.19, 4 Zn 3.10
La 0.3889 0.5000 0.7778  3 Zn 3.02-3.20, 4 Os 3.10

=====

Entry 2:
DFT (SCAN) results for a crystal of KMg3Si4O12 relaxed with PBEsol.

The value obtained for the size of the total moment is 1.00 μB/f.u. For the calculated volume, the calculation gives 482.04 Å³ per cell. As for the space group: No. 15. The calculation puts the calculated total energy at -9.81 eV per atom.

Unit cell a=5.2593 b=5.2593 c=20.1146 alpha=92.52 beta=92.52 gamma=119.57
Last column: nearest neighbours and their distance in Å.
Atoms (fractional coordinates):
K 0.4212 0.5788 0.7500  12 O 3.07-3.13
K 0.5788 0.4212 0.2500  12 O 3.07-3.13
Mg 0.3351 0.1700 0.5000  6 O 1.97-2.14
Mg 0.6649 0.8300 0.5000  6 O 1.97-2.14
Mg 0.8300 0.6649 0.0000  6 O 1.97-2.14
Mg 0.1700 0.3351 0.0000  6 O 1.97-2.14
Mg 0.5000 0.0000 0.0000  6 O 2.05-2.10
Mg 0.0000 0.5000 0.5000  6 O 2.05-2.10
Si 0.7209 0.2116 0.6367  4 O 1.60-1.65
Si 0.2791 0.7884 0.3633  4 O 1.60-1.65
Si 0.7884 0.2791 0.8633  4 O 1.60-1.65
Si 0.2116 0.7209 0.1367  4 O 1.60-1.65
Si 0.1191 0.9434 0.8633  4 O 1.60-1.65
Si 0.8809 0.0566 0.1367  4 O 1.60-1.65
Si 0.0566 0.8809 0.6367  4 O 1.60-1.65
Si 0.9434 0.1191 0.3633  4 O 1.60-1.65
O 0.1413 0.9668 0.9432  1 Si 1.60
O 0.8587 0.0332 0.0568  1 Si 1.60
O 0.0332 0.8587 0.5568  1 Si 1.60
O 0.9668 0.1413 0.4432  1 Si 1.60
O 0.4434 0.0971 0.8322  2 Si 1.65
O 0.5566 0.9029 0.1678  2 Si 1.65
O 0.9029 0.5566 0.6678  2 Si 1.65
O 0.0971 0.4434 0.3322  2 Si 1.65
O 0.6937 0.1802 0.5569  1 Si 1.60
O 0.3063 0.8198 0.4431  1 Si 1.60
O 0.8198 0.3063 0.9431  1 Si 1.60
O 0.1802 0.6937 0.0569  1 Si 1.60
O 0.3998 0.0593 0.6693  2 Si 1.65
O 0.6002 0.9407 0.3307  2 Si 1.65
O 0.9407 0.6002 0.8307  2 Si 1.65
O 0.0593 0.3998 0.1693  2 Si 1.65
O 0.4832 0.6394 0.9515  3 Mg 1.97-2.05
O 0.5168 0.3606 0.0485  3 Mg 1.97-2.05
O 0.3606 0.5168 0.5485  3 Mg 1.97-2.05
O 0.6394 0.4832 0.4515  3 Mg 1.97-2.05
O 0.8981 0.0554 0.6695  2 Si 1.65
O 0.1019 0.9446 0.3305  2 Si 1.65
O 0.9446 0.1019 0.8305  2 Si 1.65
O 0.0554 0.8981 0.1695  2 Si 1.65

=====

Entry 3:
DFT (SCAN) results for a crystal of CuH3Pd relaxed with PBEsol.

The value obtained for the size of the total moment is 0.00 μB/f.u. For the calculated volume, the calculation gives 39.56 Å³ per cell. As for the space group: No. 221. The calculation puts the calculated total energy at -11.44 eV per atom.

Unit cell a=3.4075 b=3.4075 c=3.4075 alpha=90.00 beta=90.00 gamma=90.00
Last column: nearest neighbours and their distance in Å.
Atoms (fractional coordinates):
H 0.0000 0.5000 0.0000  2 Pd 1.70
H 0.0000 0.0000 0.5000  2 Pd 1.70
H 0.5000 0.0000 0.0000  2 Pd 1.70
Cu 0.5000 0.5000 0.5000  12 H 2.41
Pd 0.0000 0.0000 0.0000  6 H 1.70

=====

Entry 4:
DFT (SCAN) results for a crystal of CuSeO4 relaxed with PBEsol.

The value obtained for the size of the total moment is 1.00 μB/f.u. For the calculated volume, the calculation gives 141.86 Å³ per cell. As for the space group: No. 63. The calculation puts the calculated total energy at -10.75 eV per atom.

Unit cell a=4.8590 b=4.8590 c=6.4467 alpha=90.00 beta=90.00 gamma=111.24
Last column: nearest neighbours and their distance in Å.
Atoms (fractional coordinates):
Cu 0.0000 0.0000 0.0000  6 O 1.94-2.12
Cu 0.0000 0.0000 0.5000  6 O 1.94-2.12
Se 0.6497 0.3503 0.2500  4 O 1.66-1.70
Se 0.3503 0.6497 0.7500  4 O 1.66-1.70
O 0.7595 0.2405 0.4682  1 Se 1.66
O 0.2405 0.7595 0.5318  1 Se 1.66
O 0.2237 0.2737 0.7500  1 Se 1.70
O 0.7763 0.7263 0.2500  1 Se 1.70
O 0.7595 0.2405 0.0318  1 Se 1.66
O 0.2405 0.7595 0.9682  1 Se 1.66
O 0.7263 0.7763 0.7500  1 Se 1.70
O 0.2737 0.2237 0.2500  1 Se 1.70

=====

Entry 5:
DFT (SCAN) results for a crystal of Sr2P relaxed with PBEsol.

The value obtained for the size of the total moment is 0.08 μB/f.u. For the calculated volume, the calculation gives 92.99 Å³ per cell. As for the space group: No. 225. The calculation puts the calculated total energy at -19.29 eV per atom. The value obtained for the formation energy is -976.7 meV/atom.

Unit cell a=5.0852 b=5.0852 c=5.0852 alpha=60.00 beta=60.00 gamma=60.00
Last column: nearest neighbours and their distance in Å.
Atoms (fractional coordinates):
Sr 0.7500 0.7500 0.7500  4 P 3.11
Sr 0.2500 0.2500 0.2500  4 P 3.11
P 0.0000 0.0000 0.0000  8 Sr 3.11

=====

Entry 6:
DFT (SCAN) results for a crystal of Li2AlAg relaxed with PBEsol.

The value obtained for the size of the total moment is 0.00 μB/f.u. For the calculated volume, the calculation gives 62.42 Å³ per cell. As for the space group: No. 65. The calculation puts the calculated total energy at -11.14 eV per atom. The value obtained for the formation energy is -161.8 meV/atom.

Unit cell a=2.8131 b=4.8945 c=4.8945 alpha=112.14 beta=90.00 gamma=90.00
Last column: nearest neighbours and their distance in Å.
Atoms (fractional coordinates):
Al 0.5000 0.5000 0.5000  2 Ag 2.73, 2 Al 2.81, 8 Li 2.82
Ag 0.5000 0.0000 0.0000  2 Al 2.73, 2 Ag 2.81, 8 Li 2.82
Li 0.0000 0.5000 0.0000  4 Li 2.73-2.81, 4 Al 2.82, 4 Ag 2.82
Li 0.0000 0.0000 0.5000  4 Li 2.73-2.81, 4 Ag 2.82, 4 Al 2.82

=====

Entry 7:
DFT (SCAN) results for a crystal of KPt2SeCl relaxed with PBEsol.

The value obtained for the size of the total moment is 0.00 μB/f.u. For the calculated volume, the calculation gives 129.03 Å³ per cell. As for the space group: No. 123. The calculation puts the calculated total energy at -35.56 eV per atom.

Unit cell a=4.5922 b=4.5922 c=6.1188 alpha=90.00 beta=90.00 gamma=90.00
Last column: nearest neighbours and their distance in Å.
Atoms (fractional coordinates):
K 0.5000 0.5000 0.5000  4 Cl 3.25
Se 0.0000 0.0000 0.0000  4 Pt 2.30
Pt 0.0000 0.5000 0.0000  2 Se 2.30
Pt 0.5000 0.0000 0.0000  2 Se 2.30
Cl 0.0000 0.0000 0.5000  2 Se 3.06, 4 K 3.25

=====

Entry 8:
DFT (SCAN) results for a crystal of ZrNi2Se relaxed with PBEsol.

The value obtained for the size of the total moment is 0.00 μB/f.u. For the calculated volume, the calculation gives 57.05 Å³ per cell. As for the space group: No. 123. The calculation puts the calculated total energy at -21.10 eV per atom.

Unit cell a=3.7642 b=3.7642 c=4.0262 alpha=90.00 beta=90.00 gamma=90.00
Last column: nearest neighbours and their distance in Å.
Atoms (fractional coordinates):
Ni 0.0000 0.5000 0.0000  4 Ni 2.66, 4 Zr 2.76, 4 Se 2.76
Ni 0.5000 0.0000 0.0000  4 Ni 2.66, 4 Zr 2.76, 4 Se 2.76
Se 0.5000 0.5000 0.5000  4 Zr 2.66, 8 Ni 2.76
Zr 0.0000 0.0000 0.5000  4 Se 2.66, 8 Ni 2.76